# 1
Ba2AsSe | PBE | relaxed

Summary:
Space-group type: Pmmm (47)
E_tot: -4.31 eV per atom
Excess energy over the best structure of this formula in the dataset: 0.065 eV per atom
Raw formation energy: -5.3 eV per formula unit

a = 3.963 Å, b = 3.909 Å, c = 9.269 Å
α = 65.08°, β = 90.00°, γ = 90.00°
Sites, in units of the cell vectors:
As1 0.500 0.750 0.750
Ba1 0.000 0.988 0.011
Ba2 0.000 0.512 0.489
Se1 0.500 0.250 0.250



# 2
AcTb2Ni | PBE | relaxed

Summary:
Space-group type: P4/mmm (123)
E_tot: -4.91 eV per atom
Excess energy over the best structure of this formula in the dataset: 0.037 eV per atom
DFT formation energy: -127 meV/atom

a = 3.549 Å, b = 3.549 Å, c = 9.044 Å
α = 90.00°, β = 90.00°, γ = 90.00°
Sites, in units of the cell vectors:
Ni1 0.500 0.500 0.000
Ac1 0.500 0.500 0.500
Tb1 0.000 0.000 0.825
Tb2 0.000 0.000 0.175



# 3
Pu2Ga3Ni | PBE | relaxed

Summary:
Space-group type: Pmm2 (25)
E_tot: -7.61 eV per atom
DFT formation energy: -352 meV/atom

a = 3.345 Å, b = 4.481 Å, c = 7.751 Å
α = 90.00°, β = 90.00°, γ = 90.00°
Site moments in Bohr magnetons follow the coordinates.
Sites, in units of the cell vectors:
Pu1 0.000 0.500 0.017  5.19
Pu2 0.000 0.000 0.489  5.17
Ga1 0.500 0.000 0.834  -0.03
Ga2 0.500 0.000 0.173  -0.04
Ga3 0.500 0.500 0.657  -0.02
Ni1 0.500 0.500 0.329  -0.18



# 4
TiCuAsCl2 | PBE | relaxed

Summary:
Space-group type: P4/mmm (123)
E_tot: -3.85 eV per atom
Raw formation energy: 1.1 eV per formula unit

a = 4.328 Å, b = 5.805 Å, c = 4.328 Å
α = 90.00°, β = 90.00°, γ = 90.00°
Sites, in units of the cell vectors:
As1 0.000 0.500 0.000
Cl1 0.000 0.000 0.500
Cl2 0.500 0.000 0.000
Cu1 0.000 0.000 0.000
Ti1 0.500 0.500 0.500



What is the E_tot in the second record?
-4.91 eV per atom